No. 1
DFT (PBE-GGA) results for a geometry-optimized InTcSe structure.

Unit cell a=6.591 b=3.168 c=6.738 alpha=90.00 beta=112.52 gamma=90.00
Atoms (fractional coordinates):
1 Se 0.365 0.500 0.079
2 In 0.858 0.500 0.838
3 Tc 0.187 0.500 0.681
4 Tc 0.549 0.000 0.931
5 In 0.870 0.000 0.349
6 Se 0.379 0.000 0.535

Summary:
Space group: No. 6
Raw total energy (eV for the cell shown): -34.7


No. 2
DFT (PBE-GGA) results for a geometry-optimized TmIn2TeSe3 structure.

Unit cell a=6.052 b=6.121 c=7.680 alpha=112.44 beta=112.59 gamma=90.53
Atoms (fractional coordinates):
1 In 0.733 0.242 0.502
2 Te 0.931 0.436 0.278
3 In 0.494 0.498 0.998
4 Se 0.151 0.109 0.741
5 Se 0.348 0.837 0.246
6 Se 0.591 0.643 0.746
7 Tm 0.002 0.985 0.988

Summary:
Space group: No. 1
Raw total energy (eV for the cell shown): -28.5


No. 3
DFT (PBE-GGA) results for a geometry-optimized ZnIn2Te2Se2 structure.

Unit cell a=5.995 b=6.047 c=7.376 alpha=113.07 beta=113.88 gamma=90.02
Atoms (fractional coordinates):
1 Te 0.132 0.654 0.727
2 In 0.501 0.485 0.001
3 In 0.733 0.249 0.500
4 Se 0.345 0.384 0.254
5 Zn 0.000 0.017 0.999
6 Te 0.926 0.866 0.272
7 Se 0.612 0.095 0.746

Summary:
Space group: No. 1
Raw total energy (eV for the cell shown): -23.4
Polymorph energy (0 for the lowest one) (meV/atom): 0


No. 4
DFT (PBE-GGA) results for a geometry-optimized ZnIn2Te3Se structure.

Unit cell a=6.124 b=6.141 c=7.517 alpha=66.13 beta=66.08 gamma=89.20
Atoms (fractional coordinates):
1 Te 0.862 0.921 0.736
2 Se 0.097 0.618 0.254
3 In 0.490 0.506 0.005
4 In 0.245 0.746 0.492
5 Te 0.649 0.129 0.271
6 Zn 0.006 0.988 0.007
7 Te 0.400 0.342 0.735

Summary:
Space group: No. 1
Raw total energy (eV for the cell shown): -22.6


No. 5
DFT (PBE-GGA) results for a geometry-optimized ZnIn2Te2Se2 structure.

Unit cell a=7.370 b=7.370 c=6.037 alpha=113.40 beta=113.40 gamma=110.21
Atoms (fractional coordinates):
1 Te 0.339 0.073 0.978
2 In 0.495 0.505 0.500
3 Se 0.615 0.877 0.472
4 In 0.757 0.243 0.000
5 Se 0.123 0.385 0.528
6 Te 0.927 0.661 0.022
7 Zn 0.993 0.007 0.500

Summary:
Space group: No. 5
Raw total energy (eV for the cell shown): -23.3
Polymorph energy (0 for the lowest one) (meV/atom): 5


No. 6
DFT (PBE-GGA) results for a geometry-optimized TmTlInSe3 structure.

Unit cell a=14.706 b=4.044 c=12.015 alpha=90.00 beta=90.00 gamma=90.00
Atoms (fractional coordinates):
1 Tl 0.730 0.250 0.081
2 Se 0.105 0.750 0.255
3 Tm 0.501 0.250 0.353
4 Se 0.606 0.250 0.547
5 Se 0.894 0.750 0.047
6 Se 0.895 0.250 0.745
7 Se 0.605 0.750 0.245
8 In 0.032 0.250 0.597
9 Se 0.635 0.750 0.821
10 In 0.532 0.250 0.903
11 Tl 0.770 0.750 0.581
12 Tl 0.230 0.250 0.419
13 In 0.968 0.750 0.403
14 Tm 0.999 0.750 0.853
15 Se 0.106 0.250 0.953
16 Se 0.865 0.250 0.321
17 Tl 0.270 0.750 0.919
18 Se 0.395 0.250 0.755
19 Tm 0.499 0.750 0.647
20 Se 0.135 0.750 0.679
21 Tm 0.001 0.250 0.147
22 In 0.468 0.750 0.097
23 Se 0.394 0.750 0.453
24 Se 0.365 0.250 0.179

Summary:
Space group: No. 62
Raw total energy (eV for the cell shown): -104.5
Polymorph energy (0 for the lowest one) (meV/atom): 0


No. 7
DFT (PBE-GGA) results for a geometry-optimized TmTlInSe3 structure.

Unit cell a=7.747 b=7.747 c=11.298 alpha=90.00 beta=90.00 gamma=149.41
Atoms (fractional coordinates):
1 Se 0.631 0.369 0.004
2 In 0.381 0.619 0.750
3 Tm 0.000 0.000 0.500
4 Se 0.369 0.631 0.996
5 In 0.619 0.381 0.250
6 Se 0.992 0.008 0.250
7 Tl 0.294 0.706 0.250
8 Se 0.631 0.369 0.496
9 Tl 0.706 0.294 0.750
10 Se 0.008 0.992 0.750
11 Tm 0.000 0.000 0.000
12 Se 0.369 0.631 0.504

Summary:
Space group: No. 63
Raw total energy (eV for the cell shown): -51.4
Polymorph energy (0 for the lowest one) (meV/atom): 66


No. 8
DFT (PBE-GGA) results for a geometry-optimized TlZn2InSe4 structure.

Unit cell a=7.520 b=7.520 c=7.520 alpha=131.25 beta=131.25 gamma=71.42
Atoms (fractional coordinates):
1 Se 0.666 0.186 0.076
2 Se 0.410 0.334 0.519
3 Se 0.814 0.890 0.481
4 Tl 0.250 0.750 0.500
5 In 0.000 0.000 0.000
6 Zn 0.500 0.500 0.000
7 Zn 0.750 0.250 0.500
8 Se 0.110 0.590 0.924

Summary:
Space group: No. 82
Raw total energy (eV for the cell shown): -25.4


No. 9
DFT (PBE-GGA) results for a geometry-optimized ZrTlInSe3 structure.

Unit cell a=8.193 b=8.193 c=11.313 alpha=90.00 beta=90.00 gamma=152.63
Atoms (fractional coordinates):
1 Zr 0.500 0.500 0.000
2 Se 0.118 0.882 0.993
3 In 0.867 0.133 0.750
4 Zr 0.500 0.500 0.500
5 Tl 0.801 0.199 0.250
6 Se 0.882 0.118 0.493
7 Se 0.494 0.506 0.750
8 Se 0.118 0.882 0.507
9 Se 0.882 0.118 0.007
10 In 0.133 0.867 0.250
11 Se 0.506 0.494 0.250
12 Tl 0.199 0.801 0.750

Summary:
Space group: No. 63
Raw total energy (eV for the cell shown): -57.6


No. 10
DFT (PBE-GGA) results for a geometry-optimized TmZnInSe3 structure.

Unit cell a=14.675 b=4.079 c=10.969 alpha=90.00 beta=90.00 gamma=90.00
Atoms (fractional coordinates):
1 Zn 0.981 0.250 0.599
2 In 0.756 0.750 0.537
3 Se 0.359 0.250 0.746
4 In 0.744 0.250 0.037
5 Se 0.402 0.750 0.422
6 Se 0.917 0.250 0.383
7 Tm 0.025 0.250 0.157
8 Tm 0.475 0.750 0.657
9 In 0.244 0.250 0.463
10 Zn 0.019 0.750 0.401
11 Se 0.902 0.750 0.078
12 Se 0.583 0.750 0.883
13 Tm 0.525 0.250 0.343
14 In 0.256 0.750 0.963
15 Tm 0.975 0.750 0.843
16 Se 0.641 0.750 0.254
17 Zn 0.481 0.250 0.901
18 Se 0.141 0.750 0.246
19 Se 0.083 0.750 0.617
20 Se 0.598 0.250 0.578
21 Zn 0.519 0.750 0.099
22 Se 0.098 0.250 0.922
23 Se 0.417 0.250 0.117
24 Se 0.859 0.250 0.754

Summary:
Space group: No. 62
Raw total energy (eV for the cell shown): -101.0
Polymorph energy (0 for the lowest one) (meV/atom): 13


No. 11
DFT (PBE-GGA) results for a geometry-optimized TmZnInSe3 structure.

Unit cell a=10.084 b=4.115 c=15.451 alpha=90.00 beta=90.00 gamma=90.00
Atoms (fractional coordinates):
1 Se 0.020 0.250 0.893
2 Tm 0.830 0.750 0.947
3 Tm 0.170 0.250 0.053
4 Se 0.480 0.750 0.393
5 Tm 0.330 0.750 0.553
6 In 0.009 0.750 0.322
7 Se 0.291 0.250 0.210
8 Se 0.328 0.750 0.987
9 In 0.991 0.250 0.678
10 Zn 0.322 0.250 0.363
11 Zn 0.178 0.750 0.863
12 Se 0.709 0.750 0.790
13 Se 0.520 0.250 0.607
14 Se 0.980 0.750 0.107
15 Se 0.172 0.250 0.487
16 Se 0.828 0.750 0.513
17 In 0.509 0.750 0.178
18 Se 0.672 0.250 0.013
19 In 0.491 0.250 0.822
20 Tm 0.670 0.250 0.447
21 Se 0.791 0.250 0.290
22 Zn 0.678 0.750 0.637
23 Zn 0.822 0.250 0.137
24 Se 0.209 0.750 0.710

Summary:
Space group: No. 62
Raw total energy (eV for the cell shown): -99.6
Polymorph energy (0 for the lowest one) (meV/atom): 72


No. 12
DFT (PBE-GGA) results for a geometry-optimized TmZnInSe3 structure.

Unit cell a=11.761 b=4.189 c=12.387 alpha=90.00 beta=90.00 gamma=90.00
Atoms (fractional coordinates):
1 In 0.832 0.500 0.996
2 Se 0.961 0.000 0.165
3 Zn 0.253 0.000 0.302
4 In 0.668 0.000 0.496
5 Se 0.730 0.500 0.309
6 Tm 0.525 0.000 0.825
7 Se 0.039 0.500 0.835
8 Tm 0.025 0.000 0.675
9 In 0.168 0.000 0.004
10 Tm 0.975 0.500 0.325
11 Se 0.903 0.500 0.564
12 Se 0.539 0.500 0.665
13 Se 0.403 0.500 0.936
14 Se 0.461 0.000 0.335
15 In 0.332 0.500 0.504
16 Se 0.097 0.000 0.436
17 Zn 0.747 0.500 0.698
18 Se 0.770 0.000 0.809
19 Se 0.230 0.500 0.191
20 Zn 0.247 0.500 0.802
21 Tm 0.475 0.500 0.175
22 Se 0.597 0.000 0.064
23 Zn 0.753 0.000 0.198
24 Se 0.270 0.000 0.691

Summary:
Space group: No. 62
Raw total energy (eV for the cell shown): -99.7
Polymorph energy (0 for the lowest one) (meV/atom): 70


Copy entry 4 word for word.
DFT (PBE-GGA) results for a geometry-optimized ZnIn2Te3Se structure.

Unit cell a=6.124 b=6.141 c=7.517 alpha=66.13 beta=66.08 gamma=89.20
Atoms (fractional coordinates):
1 Te 0.862 0.921 0.736
2 Se 0.097 0.618 0.254
3 In 0.490 0.506 0.005
4 In 0.245 0.746 0.492
5 Te 0.649 0.129 0.271
6 Zn 0.006 0.988 0.007
7 Te 0.400 0.342 0.735

Summary:
Space group: No. 1
Raw total energy (eV for the cell shown): -22.6